1.
The following is a DFT calculation (PBE) of a geometry-optimized KCdCuTc2 structure.

Geometry as POSCAR:
```
KCdCuTc2
1.0
4.779 0.000 0.000
0.000 4.779 0.000
0.000 0.000 5.494
K Cd Cu Tc
1 1 1 2
Cartesian
0.000 0.000 0.000
2.389 2.389 0.000
0.000 0.000 2.747
0.000 2.389 2.747
2.389 0.000 2.747
```

## Properties
ΔE_f	1.5255	eV/atom
total magnetization	5.75	Bohr magnetons per cell

2.
The following is a DFT calculation (PBE) of a geometry-optimized KTl2CdCu structure.

Geometry as POSCAR:
```
KTl2CdCu
1.0
5.354 0.000 0.000
0.000 5.354 0.000
0.000 0.000 5.255
K Tl Cd Cu
1 2 1 1
Cartesian
0.000 0.000 0.000
0.000 2.677 2.627
2.677 0.000 2.627
2.677 2.677 0.000
2.677 2.677 2.627
```

## Properties
ΔE_f	0.0562	eV/atom
total magnetization	0.00	Bohr magnetons per cell

3.
The following is a DFT calculation (PBE) of a geometry-optimized KTlCd2Cu structure.

Geometry as POSCAR:
```
KTlCd2Cu
1.0
5.196 0.000 0.000
0.000 5.196 0.000
0.000 0.000 5.350
K Tl Cd Cu
1 1 2 1
Cartesian
0.000 0.000 0.000
2.598 2.598 0.000
0.000 2.598 2.675
2.598 0.000 2.675
2.598 2.598 2.675
```

## Properties
ΔE_f	0.0431	eV/atom
total magnetization	0.00	Bohr magnetons per cell

4.
The following is a DFT calculation (PBE) of a geometry-optimized KCd2CuW structure.

Geometry as POSCAR:
```
KCd2CuW
1.0
6.194 0.000 0.000
0.000 6.194 0.000
0.000 0.000 6.338
K Cd Cu W
1 2 1 1
Cartesian
0.000 0.000 0.000
0.000 3.097 0.000
3.097 0.000 0.000
3.097 3.097 3.169
0.000 0.000 3.169
```

## Properties
ΔE_f	2.2804	eV/atom
total magnetization	4.54	Bohr magnetons per cell

5.
The following is a DFT calculation (PBE) of a geometry-optimized K2ZnCdCu structure.

Geometry as POSCAR:
```
K2ZnCdCu
1.0
6.376 0.000 0.000
0.000 6.376 0.000
0.000 0.000 5.034
K Zn Cd Cu
2 1 1 1
Cartesian
0.000 3.188 0.000
3.188 0.000 0.000
0.000 0.000 0.000
0.000 0.000 2.517
3.188 3.188 2.517
```

## Properties
ΔE_f	0.4299	eV/atom
total magnetization	0.00	Bohr magnetons per cell

6.
The following is a DFT calculation (PBE) of a geometry-optimized KZn2CdCu structure.

Geometry as POSCAR:
```
KZn2CdCu
1.0
4.849 0.000 0.000
0.000 4.849 0.000
0.000 0.000 5.136
K Zn Cd Cu
1 2 1 1
Cartesian
0.000 0.000 0.000
0.000 2.424 2.568
2.424 0.000 2.568
2.424 2.424 0.000
2.424 2.424 2.568
```

## Properties
ΔE_f	0.0891	eV/atom
total magnetization	0.00	Bohr magnetons per cell

7.
The following is a DFT calculation (PBE) of a geometry-optimized KZnCd2Cu structure.

Geometry as POSCAR:
```
KZnCd2Cu
1.0
5.167 0.000 0.000
0.000 5.167 0.000
0.000 0.000 4.851
K Zn Cd Cu
1 1 2 1
Cartesian
0.000 0.000 0.000
2.583 2.583 0.000
0.000 2.583 2.425
2.583 0.000 2.425
2.583 2.583 2.425
```

## Properties
ΔE_f	0.0583	eV/atom
total magnetization	0.00	Bohr magnetons per cell

8.
The following is a DFT calculation (PBE) of a geometry-optimized KZrCd2Cu structure.

Geometry as POSCAR:
```
KZrCd2Cu
1.0
5.772 0.000 0.000
0.000 5.772 0.000
0.000 0.000 5.120
K Zr Cd Cu
1 1 2 1
Cartesian
0.000 0.000 0.000
2.886 2.886 2.560
0.000 2.886 2.560
2.886 0.000 2.560
2.886 2.886 0.000
```

## Properties
ΔE_f	0.5869	eV/atom
total magnetization	0.49	Bohr magnetons per cell